Entry from Alexandria: AlP3O9 after structural relaxation (GGA-PBEsol).

abc: 9.2798 10.4879 11.4084
angles: 113.52 109.77 98.56
Last column: nearest neighbours and their distance in Å.
Fractional positions:
O 0.2438 0.9311 0.8944  1 P 1.50
O 0.1131 0.2592 0.3237  1 P 1.50
Al 0.7616 0.7419 0.5094  6 O 1.87-1.91
O 0.6401 0.0297 0.3652  1 P 1.49
P 0.0115 0.3251 0.3924  4 O 1.49-1.60
O 0.6288 0.5131 0.9271  1 P 1.49
O 0.2021 0.7929 0.3108  1 P 1.50
O 0.3174 0.7189 0.7424  1 P 1.49
O 0.7547 0.8300 0.3932  1 P 1.49
Al 0.4148 0.9254 0.8402  6 O 1.89-1.90
O 0.0455 0.9115 0.9996  1 P 1.50
Al 0.0810 0.5954 0.1763  6 O 1.86-1.93
P 0.7134 0.9062 0.0627  4 O 1.50-1.60
Al 0.0746 0.0852 0.1598  6 O 1.89-1.90
O 0.7342 0.8711 0.1906  2 P 1.60
O 0.2016 0.5860 0.0729  1 P 1.49
P 0.6573 0.8816 0.2989  4 O 1.49-1.60
O 0.7749 0.6644 0.6348  1 P 1.49
O 0.7781 0.5564 0.7954  2 P 1.58
O 0.0950 0.9540 0.4715  2 P 1.60
O 0.5819 0.9194 0.7806  1 P 1.50
P 0.0521 0.2212 0.7263  4 O 1.49-1.59
O 0.0661 0.2771 0.8823  2 P 1.59
Al 0.4047 0.4191 0.8237  6 O 1.86-1.93
O 0.6130 0.2510 0.5782  1 P 1.49
P 0.1191 0.9328 0.6076  4 O 1.49-1.60
O 0.4059 0.3471 0.9484  1 P 1.49
O 0.6105 0.2597 0.3435  1 P 1.49
P 0.3926 0.5608 0.3975  4 O 1.49-1.59
O 0.8614 0.4368 0.6068  1 P 1.49
P 0.8258 0.4948 0.2737  4 O 1.49-1.59
P 0.4464 0.2666 0.2720  4 O 1.49-1.59
O 0.7306 0.7638 0.9540  2 P 1.59
O 0.4827 0.7609 0.2046  2 P 1.58
O 0.7670 0.9162 0.6565  1 P 1.49
O 0.3894 0.6123 0.5468  2 P 1.58
P 0.7712 0.6185 0.9441  4 O 1.49-1.59
P 0.8584 0.5827 0.7011  4 O 1.49-1.60
O 0.4297 0.4121 0.3761  2 P 1.59
O 0.5536 0.0360 0.6239  2 P 1.59
P 0.9726 0.2537 0.9694  4 O 1.49-1.59
O 0.2894 0.9355 0.6763  1 P 1.50
O 0.2306 0.5332 0.2874  1 P 1.49
O 0.7549 0.5593 0.3742  1 P 1.49
P 0.1506 0.8435 0.9373  4 O 1.50-1.60
O 0.9127 0.2300 0.4252  1 P 1.49
O 0.5348 0.6728 0.4218  1 P 1.49
P 0.5032 0.2843 0.0306  4 O 1.49-1.59
P 0.4950 0.1633 0.6025  4 O 1.49-1.59
O 0.0436 0.6805 0.8094  2 P 1.60
O 0.4363 0.2985 0.1447  2 P 1.59
O 0.3013 0.1388 0.2194  1 P 1.50
O 0.3426 0.0655 0.4532  2 P 1.58
O 0.0535 0.1805 0.0479  1 P 1.49
O 0.0750 0.9765 0.2576  1 P 1.49
O 0.5458 0.9119 0.0004  1 P 1.50
P 0.3103 0.5746 0.6364  4 O 1.49-1.60
O 0.3727 0.5941 0.9403  1 P 1.49
O 0.8807 0.1851 0.6258  1 P 1.49
O 0.8494 0.0368 0.1056  1 P 1.50
P 0.6744 0.9946 0.7280  4 O 1.49-1.59
O 0.1789 0.3278 0.7269  1 P 1.49
O 0.6838 0.3948 0.1177  2 P 1.59
O 0.0979 0.0771 0.7076  2 P 1.58
O 0.9576 0.3987 0.0516  1 P 1.49
O 0.8904 0.3695 0.2924  2 P 1.58
O 0.5056 0.1326 0.9521  1 P 1.49
P 0.3271 0.6744 0.0559  4 O 1.49-1.59
O 0.2766 0.8098 0.0460  2 P 1.59
O 0.9324 0.6538 0.0597  1 P 1.49
Al 0.7522 0.2325 0.4906  6 O 1.87-1.91
O 0.7916 0.1538 0.8553  2 P 1.59
O 0.9521 0.6009 0.2731  1 P 1.49
O 0.1235 0.4825 0.5285  2 P 1.60
O 0.3912 0.4821 0.6892  1 P 1.50
P 0.1739 0.9382 0.3636  4 O 1.49-1.60
O 0.9875 0.8048 0.5748  1 P 1.49
O 0.4432 0.2458 0.7126  1 P 1.49

Results
Energy relative to the elements, uncorrected   -2.37 eV per atom
Distance to the lowest polymorph of the same formula   0.014 eV per atom
Crystal system   monoclinic
Size of the total moment   0.00 μB/f.u.